Record 1
# Pm2AgSb4Rh3

An optimized crystal structure of Pm2AgSb4Rh3 (GGA-PBE, Alexandria via LeMat-Bulk).

Calculated values
Total magnetic moment: 0.00 μB/f.u.
SG: No. 115
Raw formation energy: -685.4 meV/atom

Lattice parameters (Å, degrees): 4.5701 4.5701 10.6582 90.00 90.00 90.00
Element x y z (fractional)
1 Pm 0.5000 0.0000 0.2500
2 Pm 0.0000 0.5000 0.7500
3 Ag 0.5000 0.5000 0.5000
4 Sb 0.5000 0.5000 0.0000
5 Sb 0.0000 0.0000 0.0000
6 Sb 0.5000 0.0000 0.6397
7 Sb 0.0000 0.5000 0.3603
8 Rh 0.0000 0.0000 0.5000
9 Rh 0.5000 0.0000 0.8803
10 Rh 0.0000 0.5000 0.1197

Record 2
# Pm3Si6AgRh2

An optimized crystal structure of Pm3Si6AgRh2 (GGA-PBE, Alexandria via LeMat-Bulk).

Calculated values
Total magnetic moment: 0.00 μB/f.u.
SG: No. 164
Raw formation energy: -360.5 meV/atom

Lattice parameters (Å, degrees): 5.4089 5.4089 9.3073 90.00 90.00 120.00
Element x y z (fractional)
1 Pm 0.3333 0.6667 0.5850
2 Pm 0.6667 0.3333 0.4150
3 Pm 0.0000 0.0000 0.0000
4 Si 0.6598 0.8299 0.2705
5 Si 0.1701 0.3402 0.2705
6 Si 0.1701 0.8299 0.2705
7 Si 0.8299 0.6598 0.7295
8 Si 0.3402 0.1701 0.7295
9 Si 0.8299 0.1701 0.7295
10 Ag 0.0000 0.0000 0.5000
11 Rh 0.6667 0.3333 0.9263
12 Rh 0.3333 0.6667 0.0737

Record 3
# PmSmAgRh

An optimized crystal structure of PmSmAgRh (GGA-PBE, Alexandria via LeMat-Bulk).

Calculated values
Total magnetic moment: 0.00 μB/f.u.
SG: No. 216
ΔH_f (0 K): -0.47 eV/atom

Lattice parameters (Å, degrees): 5.1020 5.1020 5.1020 60.00 60.00 60.00
Element x y z (fractional)
1 Rh 0.2500 0.2500 0.2500
2 Ag 0.7500 0.7500 0.7500
3 Sm 0.5000 0.5000 0.5000
4 Pm 0.0000 0.0000 0.0000

Record 4
# PmAgSnRh

An optimized crystal structure of PmAgSnRh (GGA-PBE, Alexandria via LeMat-Bulk).

Calculated values
Total magnetic moment: 0.00 μB/f.u.
SG: No. 216
ΔH_f (0 K): -0.47 eV/atom

Lattice parameters (Å, degrees): 4.9040 4.9040 4.9040 60.00 60.00 60.00
Element x y z (fractional)
1 Rh 0.0000 0.0000 0.0000
2 Sn 0.2500 0.2500 0.2500
3 Ag 0.5000 0.5000 0.5000
4 Pm 0.7500 0.7500 0.7500

Record 5
# Pm2AgSn4Rh3

An optimized crystal structure of Pm2AgSn4Rh3 (GGA-PBE, Alexandria via LeMat-Bulk).

Calculated values
Total magnetic moment: 0.00 μB/f.u.
SG: No. 115
ΔH_f (0 K): -0.60 eV/atom

Lattice parameters (Å, degrees): 4.5054 4.5054 10.9518 90.00 90.00 90.00
Element x y z (fractional)
1 Pm 0.5000 0.0000 0.2425
2 Pm 0.0000 0.5000 0.7575
3 Ag 0.5000 0.5000 0.5000
4 Sn 0.5000 0.5000 0.0000
5 Sn 0.0000 0.0000 0.0000
6 Sn 0.5000 0.0000 0.6372
7 Sn 0.0000 0.5000 0.3628
8 Rh 0.0000 0.0000 0.5000
9 Rh 0.5000 0.0000 0.8715
10 Rh 0.0000 0.5000 0.1285

Record 6
# TbPmAgRh

An optimized crystal structure of TbPmAgRh (GGA-PBE, Alexandria via LeMat-Bulk).

Calculated values
Total magnetic moment: 0.00 μB/f.u.
Energy above the lowest structure with this stoichiometry: 0 meV per atom
SG: No. 99
ΔH_f (0 K): -0.53 eV/atom

Lattice parameters (Å, degrees): 3.5570 3.5570 7.2946 90.00 90.00 90.00
Element x y z (fractional)
1 Tb 0.0000 0.0000 0.3770
2 Pm 0.0000 0.0000 0.8355
3 Ag 0.5000 0.5000 0.1181
4 Rh 0.5000 0.5000 0.5973

Record 7
# TbPmAgRh

An optimized crystal structure of TbPmAgRh (GGA-PBE, Alexandria via LeMat-Bulk).

Calculated values
Total magnetic moment: 0.00 μB/f.u.
Energy above the lowest structure with this stoichiometry: 27 meV per atom
SG: No. 216
ΔH_f (0 K): -0.51 eV/atom

Lattice parameters (Å, degrees): 5.0624 5.0624 5.0624 60.00 60.00 60.00
Element x y z (fractional)
1 Rh 0.0000 0.0000 0.0000
2 Tb 0.7500 0.7500 0.7500
3 Ag 0.5000 0.5000 0.5000
4 Pm 0.2500 0.2500 0.2500

Record 8
# PmTlAgRh

An optimized crystal structure of PmTlAgRh (GGA-PBE, Alexandria via LeMat-Bulk).

Calculated values
Total magnetic moment: 0.00 μB/f.u.
SG: No. 216
ΔH_f (0 K): -0.25 eV/atom

Lattice parameters (Å, degrees): 4.9423 4.9423 4.9423 60.00 60.00 60.00
Element x y z (fractional)
1 Tl 0.5000 0.5000 0.5000
2 Rh 0.2500 0.2500 0.2500
3 Ag 0.7500 0.7500 0.7500
4 Pm 0.0000 0.0000 0.0000